[1]
Tb2MgAl2 after structural relaxation. Source: the Alexandria database, functional PBE.

Unit cell a=4.468 b=15.014 c=3.603 alpha=90.00 beta=90.00 gamma=90.00
Space group Cmmm (No. 65)
Asymmetric unit:
Tb 0.000 0.124 0.000 (multiplicity 4)
Mg 0.000 0.500 0.500 (multiplicity 2)
Al 0.000 0.297 0.500 (multiplicity 4)

Computed properties:
DFT total energy: -40.12 eV/cell
Density: 5443 kg/m³
Formation energy: -0.344 eV per atom
Size of the total moment: 0.0000 μB per atom
N(E_F): 0.878 states/eV per atom


[2]
TbMg11Al after structural relaxation. Source: the Alexandria database, functional PBE.

Unit cell a=5.846 b=14.400 c=7.675 alpha=90.00 beta=111.62 gamma=90.00
Space group C2/m (No. 12)
Asymmetric unit:
Tb 0.000 0.000 0.000 (multiplicity 2)
Mg 0.000 0.000 0.500 (multiplicity 2)
Mg 0.104 0.396 0.214 (multiplicity 8)
Mg 0.179 0.173 0.354 (multiplicity 8)
Mg 0.250 0.250 0.000 (multiplicity 4)
Al 0.000 0.500 0.500 (multiplicity 2)

Computed properties:
DFT total energy: -52.70 eV/cell
Density: 2506 kg/m³
Formation energy: -0.034 eV per atom
Size of the total moment: 0.0000 μB per atom
N(E_F): 0.390 states/eV per atom


[3]
Tb3Mg2Al after structural relaxation. Source: the Alexandria database, functional PBE.

Unit cell a=3.686 b=3.686 c=11.569 alpha=90.00 beta=90.00 gamma=90.00
Space group P4/mmm (No. 123)
Asymmetric unit:
Tb 0.000 0.000 0.000 (multiplicity 1)
Tb 0.000 0.000 0.347 (multiplicity 2)
Mg 0.500 0.500 0.171 (multiplicity 2)
Al 0.500 0.500 0.500 (multiplicity 1)

Computed properties:
DFT total energy: -21.98 eV/cell
Density: 5836 kg/m³
Formation energy: -0.193 eV per atom
Size of the total moment: 0.0568 μB per atom
N(E_F): 1.062 states/eV per atom


[4]
TbMgAl4 after structural relaxation. Source: the Alexandria database, functional PBE.

Unit cell a=4.344 b=12.458 c=4.356 alpha=90.00 beta=90.00 gamma=90.00
Space group Cmmm (No. 65)
Asymmetric unit:
Tb 0.000 0.000 0.000 (multiplicity 2)
Mg 0.000 0.500 0.500 (multiplicity 2)
Al 0.000 0.176 0.500 (multiplicity 4)
Al 0.000 0.320 0.000 (multiplicity 4)

Computed properties:
DFT total energy: -44.54 eV/cell
Density: 4101 kg/m³
Formation energy: -0.180 eV per atom
Size of the total moment: 0.0000 μB per atom
N(E_F): 0.466 states/eV per atom


[5]
Tb2Mg2Al after structural relaxation. Source: the Alexandria database, functional PBE.

Unit cell a=4.863 b=15.565 c=3.306 alpha=90.00 beta=90.00 gamma=90.00
Space group Cmmm (No. 65)
Asymmetric unit:
Tb 0.000 0.104 0.000 (multiplicity 4)
Mg 0.000 0.300 0.500 (multiplicity 4)
Al 0.000 0.500 0.500 (multiplicity 2)

Computed properties:
DFT total energy: -33.54 eV/cell
Density: 5221 kg/m³
Formation energy: -0.116 eV per atom
Size of the total moment: 0.0001 μB per atom
N(E_F): 1.017 states/eV per atom


[6]
TbMgAl2 after structural relaxation. Source: the Alexandria database, functional PBE.

Unit cell a=3.446 b=3.446 c=7.179 alpha=90.00 beta=90.00 gamma=90.00
Space group P4/mmm (No. 123)
Asymmetric unit:
Tb 0.000 0.000 0.000 (multiplicity 1)
Mg 0.000 0.000 0.500 (multiplicity 1)
Al 0.500 0.500 0.280 (multiplicity 2)

Computed properties:
DFT total energy: -14.49 eV/cell
Density: 4620 kg/m³
Formation energy: -0.194 eV per atom
Size of the total moment: 0.0000 μB per atom
N(E_F): 0.650 states/eV per atom


[7]
Tb4Mg2Al after structural relaxation. Source: the Alexandria database, functional PBE.

Unit cell a=5.2148 b=5.2148 c=25.3636 alpha=90.00 beta=90.00 gamma=120.00
Space group R-3m (No. 166, hexagonal axes)
Asymmetric unit:
Tb 0.0000 0.0000 0.1214 (multiplicity 6)
Tb 0.0000 0.0000 0.3736 (multiplicity 6)
Mg 0.0000 0.0000 0.2458 (multiplicity 6)
Al 0.0000 0.0000 0.5000 (multiplicity 3)

Computed properties:
DFT total energy: -76.08 eV/cell
Density: 5932 kg/m³
Formation energy: 0.013 eV per atom
Size of the total moment: 0.0000 μB per atom
N(E_F): 1.144 states/eV per atom


[8]
TbMg2Al after structural relaxation. Source: the Alexandria database, functional PBE.

Unit cell a=7.087 b=7.087 c=7.087 alpha=90.00 beta=90.00 gamma=90.00
Space group Fm-3m (No. 225)
Asymmetric unit:
Tb 0.000 0.000 0.000 (multiplicity 4)
Mg 0.250 0.250 0.250 (multiplicity 8)
Al 0.000 0.000 0.500 (multiplicity 4)

Computed properties:
DFT total energy: -47.22 eV/cell
Density: 4376 kg/m³
Formation energy: -0.061 eV per atom
Size of the total moment: 0.0000 μB per atom
N(E_F): 0.295 states/eV per atom